Record 1
Here is crystalline TePIr at its relaxed geometry from Alexandria. Energies are from PBE-GGA.

```
TePIr
1.0
3.7297 0.0000 0.0000
-1.8648 3.2300 0.0000
0.0000 0.0000 5.3504
Te P Ir
1 1 1
Cartesian
0.0000 0.0000 0.0000
1.8648 1.0767 2.6087
0.0000 2.1533 1.7293
```

Results
Formation energy without anion corrections (eV/atom): -0.17
Space-group type: No. 156
M_tot (μB per formula unit): 0.0

***

Record 2
Here is crystalline TePIr at its relaxed geometry from Alexandria. Energies are from PBE-GGA.

```
TePIr
1.0
6.3390 0.0000 0.0000
0.0000 6.0911 0.0000
-1.4841 0.0000 6.0990
Te P Ir
4 4 4
Cartesian
0.4787 0.7415 2.0861
-0.2633 2.3041 5.1356
5.1183 3.7870 0.9634
4.3762 5.3496 4.0130
1.4054 3.8217 3.8669
2.1475 5.3150 0.8174
2.7075 0.7761 5.2816
3.4495 2.2694 2.2321
1.3698 3.1911 1.5744
0.6277 5.9455 4.6240
4.2272 0.1455 1.4751
3.4852 2.9000 4.5246
```

Results
Formation energy without anion corrections (eV/atom): -0.50
Space-group type: No. 14
M_tot (μB per formula unit): 0.0

***

Record 3
Here is crystalline Te2PIr at its relaxed geometry from Alexandria. Energies are from PBE-GGA.

```
Te2PIr
1.0
6.0989 0.0000 0.0000
0.0000 6.0989 0.0000
0.0000 0.0000 12.2007
Te P Ir
8 4 4
Cartesian
1.3577 1.5247 1.5251
1.5247 4.4072 4.5753
1.5247 4.7411 10.6756
1.6917 1.5247 7.6254
4.4072 4.5742 7.6254
4.5742 1.3577 10.6756
4.5742 1.6917 4.5753
4.7411 4.5742 1.5251
0.0000 0.0000 6.1004
0.0000 3.0494 9.1505
3.0494 0.0000 3.0502
3.0494 3.0494 0.0000
0.0000 0.0000 0.0000
0.0000 3.0494 3.0502
3.0494 0.0000 9.1505
3.0494 3.0494 6.1004
```

Results
Formation energy without anion corrections (eV/atom): 0.37
Space-group type: No. 122
M_tot (μB per formula unit): 0.0

***

Record 4
Here is crystalline TePIr2 at its relaxed geometry from Alexandria. Energies are from PBE-GGA.

```
TePIr2
1.0
3.5101 0.0000 0.0000
0.0000 3.5101 0.0000
0.0000 0.0000 5.6799
Te P Ir
1 1 2
Cartesian
0.0000 0.0000 0.0000
1.7551 1.7551 3.3186
0.0000 0.0000 2.7990
1.7551 1.7551 1.0512
```

Results
Formation energy without anion corrections (eV/atom): 0.07
Space-group type: No. 99
M_tot (μB per formula unit): 0.0

***

Record 5
Here is crystalline TePIr3 at its relaxed geometry from Alexandria. Energies are from PBE-GGA.

```
TePIr3
1.0
4.4965 0.0000 0.0000
0.0000 4.4965 0.0000
0.0000 0.0000 4.4965
Te P Ir
1 1 3
Cartesian
0.0000 0.0000 0.0000
2.2483 2.2483 2.2483
0.0000 2.2483 2.2483
2.2483 0.0000 2.2483
2.2483 2.2483 0.0000
```

Results
Formation energy without anion corrections (eV/atom): 0.62
Space-group type: No. 221
M_tot (μB per formula unit): 0.0

***

Record 6
Here is crystalline TePIr2 at its relaxed geometry from Alexandria. Energies are from PBE-GGA.

```
TePIr2
1.0
3.8703 0.0000 0.0000
0.0000 3.8703 0.0000
0.0000 0.0000 8.7746
Te P Ir
2 2 4
Cartesian
0.0000 0.0000 0.0000
1.9352 1.9352 4.3873
0.0000 1.9352 2.1937
1.9352 0.0000 6.5810
0.0000 0.0000 4.3873
0.0000 1.9352 6.5810
1.9352 0.0000 2.1937
1.9352 1.9352 0.0000
```

Results
Formation energy without anion corrections (eV/atom): 0.53
Space-group type: No. 119
M_tot (μB per formula unit): 0.0

***

Record 7
Here is crystalline TePIr2 at its relaxed geometry from Alexandria. Energies are from PBE-GGA.

```
TePIr2
1.0
3.7758 0.0000 0.0000
-1.8879 3.2699 0.0000
0.0000 0.0000 17.3631
Te P Ir
3 3 6
Cartesian
0.0000 0.0000 0.0000
0.0000 2.1799 11.5754
1.8879 1.0900 5.7877
0.0000 0.0000 8.6815
0.0000 2.1799 2.8938
1.8879 1.0900 14.4692
0.0000 0.0000 3.8269
0.0000 0.0000 13.5362
0.0000 2.1799 7.7485
0.0000 2.1799 15.4022
1.8879 1.0900 1.9608
1.8879 1.0900 9.6145
```

Results
Formation energy without anion corrections (eV/atom): -0.08
Space-group type: No. 166
M_tot (μB per formula unit): 0.0

***

Record 8
Here is crystalline TeP3Ir at its relaxed geometry from Alexandria. Energies are from PBE-GGA.

```
TeP3Ir
1.0
4.6747 0.0000 0.0000
0.0000 4.6747 0.0000
0.0000 0.0000 4.6747
Te P Ir
1 3 1
Cartesian
0.0000 0.0000 0.0000
0.0000 2.3373 2.3373
2.3373 0.0000 2.3373
2.3373 2.3373 0.0000
2.3373 2.3373 2.3373
```

Results
Formation energy without anion corrections (eV/atom): 0.61
Space-group type: No. 221
M_tot (μB per formula unit): 0.0

***

- Look up the M_tot of the first one.
  0.0 μB per formula unit